Below is a relaxed HoCuSb2S5 crystal, with properties calculated at the PBE level.

Unit cell a=3.880 b=9.897 c=11.971 alpha=90.00 beta=90.00 gamma=101.30
Sites, in units of the cell vectors:
S  0.680  0.360  0.862
S  0.320  0.640  0.362
S  0.659  0.318  0.527
S  0.341  0.682  0.027
S  0.492  0.983  0.293
S  0.059  0.118  0.060
S  0.710  0.421  0.174
S  0.508  0.017  0.793
S  0.941  0.882  0.560
S  0.290  0.579  0.674
Cu  0.573  0.146  0.956
Cu  0.427  0.854  0.456
Ho  0.199  0.399  0.012
Ho  0.801  0.601  0.512
Sb  0.161  0.322  0.674
Sb  0.922  0.845  0.766
Sb  0.078  0.155  0.266
Sb  0.839  0.678  0.174

Summary:
Raw formation energy ... -738 meV/atom
SG ... Cmc2_1, No. 36
Crystal system ... orthorhombic

***

Below is a relaxed AlPt2Rh crystal, with properties calculated at the PBE level.

Unit cell a=8.745 b=8.745 c=8.745 alpha=18.66 beta=18.66 gamma=18.66
Site moments in Bohr magnetons follow the coordinates.
Sites, in units of the cell vectors:
Pt  0.007  0.007  0.007  0.03
Pt  0.493  0.493  0.493  0.03
Al  0.750  0.750  0.750  -0.01
Rh  0.250  0.250  0.250  0.79

Summary:
Formation energy ... -0.440 eV per atom
Fermi-level density of states ... 2.465 states/eV/cell
SG ... R-3m, No. 166
Crystal system ... trigonal

***

Below is a relaxed CeHo2Zn3 crystal, with properties calculated at the PBE level.

Unit cell a=3.544 b=3.544 c=10.895 alpha=90.00 beta=90.00 gamma=90.00
Site moments in Bohr magnetons follow the coordinates.
Sites, in units of the cell vectors:
Ho  0.500  0.500  0.163  0.01
Ho  0.500  0.500  0.837  0.01
Zn  0.000  0.000  0.678  0.01
Zn  0.000  0.000  0.000  0.01
Zn  0.000  0.000  0.322  0.01
Ce  0.500  0.500  0.500  0.59

Summary:
Formation energy ... -0.286 eV per atom
Fermi-level density of states ... 10.118 states/eV/cell
SG ... P4/mmm, No. 123
Crystal system ... tetragonal

***

Below is a relaxed RbMn2SnHg crystal, with properties calculated at the PBE level.

Unit cell a=5.484 b=5.828 c=5.484 alpha=90.00 beta=90.00 gamma=90.00
Site moments in Bohr magnetons follow the coordinates.
Sites, in units of the cell vectors:
Sn  0.000  0.500  0.000  -0.11
Rb  0.500  0.500  0.500  -0.01
Mn  0.500  0.000  0.000  4.14
Mn  0.000  0.000  0.500  4.30
Hg  0.000  0.000  0.000  -0.01

Summary:
Formation energy ... 0.789 eV per atom
Fermi-level density of states ... 4.560 states/eV/cell
SG ... P4/mmm, No. 123
Crystal system ... tetragonal

***

Below is a relaxed RbU2Ag2Se6 crystal, with properties calculated at the PBE level.

Unit cell a=7.525 b=8.271 c=8.469 alpha=125.01 beta=92.37 gamma=58.82
Site moments in Bohr magnetons follow the coordinates.
Sites, in units of the cell vectors:
Se  0.790  0.178  0.449  -0.07
Se  0.402  0.789  0.065  -0.07
Se  0.996  0.431  0.162  -0.07
Se  0.004  0.569  0.838  -0.07
Se  0.598  0.211  0.935  -0.07
Se  0.210  0.822  0.551  -0.07
U  0.837  0.332  0.835  1.75
U  0.163  0.668  0.165  1.75
Ag  0.202  0.737  0.799  -0.02
Ag  0.798  0.263  0.201  -0.02
Rb  0.500  0.000  0.500  0.00

Summary:
Raw formation energy ... -831 meV/atom
Fermi-level density of states ... 9.520 states/eV/cell
SG ... P-1, No. 2
Crystal system ... triclinic

***

Below is a relaxed Mn4GaRe crystal, with properties calculated at the PBE level.

Unit cell a=4.677 b=4.677 c=4.677 alpha=60.00 beta=60.00 gamma=60.00
Sites, in units of the cell vectors:
Mn  0.623  0.130  0.623
Mn  0.130  0.623  0.623
Mn  0.623  0.623  0.130
Mn  0.623  0.623  0.623
Re  0.000  0.000  0.000
Ga  0.250  0.250  0.250

Summary:
Formation energy ... 0.063 eV per atom
Fermi-level density of states ... 7.354 states/eV/cell
SG ... F-43m, No. 216
Crystal system ... cubic

***

Below is a relaxed Cd3NiPd4 crystal, with properties calculated at the PBE level.

Unit cell a=4.269 b=4.269 c=7.845 alpha=105.83 beta=105.79 gamma=90.00
Site moments in Bohr magnetons follow the coordinates.
Sites, in units of the cell vectors:
Cd  0.749  0.249  0.499  0.00
Cd  0.000  0.500  0.000  0.00
Cd  0.251  0.751  0.501  0.00
Pd  0.619  0.619  0.238  0.01
Pd  0.119  0.119  0.238  0.01
Pd  0.881  0.881  0.762  0.01
Pd  0.381  0.381  0.762  0.01
Ni  0.500  0.000  0.000  0.36

Summary:
Formation energy ... -0.264 eV per atom
Fermi-level density of states ... 5.861 states/eV/cell
SG ... I4/mmm, No. 139
Crystal system ... tetragonal

***

Below is a relaxed Sm6C2SeS3 crystal, with properties calculated at the PBE level.

Unit cell a=3.899 b=8.058 c=8.844 alpha=103.04 beta=102.73 gamma=90.00
Sites, in units of the cell vectors:
C  0.169  0.335  0.337
C  0.831  0.665  0.663
Sm  0.325  0.434  0.650
Sm  0.673  0.122  0.347
Sm  0.675  0.566  0.350
Sm  0.017  0.270  0.034
Sm  0.983  0.730  0.966
Sm  0.327  0.878  0.653
S  0.500  0.500  0.000
S  0.162  0.835  0.324
S  0.838  0.165  0.676
Se  0.500  0.000  0.000

Summary:
Raw formation energy ... -1444 meV/atom
Fermi-level density of states ... 3.562 states/eV/cell
SG ... C2/m, No. 12
Crystal system ... monoclinic

***

Below is a relaxed CaEuInIr crystal, with properties calculated at the PBE level.

Unit cell a=5.163 b=5.163 c=5.163 alpha=60.00 beta=60.00 gamma=60.00
Site moments in Bohr magnetons follow the coordinates.
Sites, in units of the cell vectors:
In  0.500  0.500  0.500  0.01
Ir  0.000  0.000  0.000  -0.12
Ca  0.250  0.250  0.250  0.00
Eu  0.750  0.750  0.750  6.73

Summary:
Formation energy ... -0.245 eV per atom
Fermi-level density of states ... 6.750 states/eV/cell
SG ... F-43m, No. 216
Crystal system ... cubic

***

Below is a relaxed Rb5Ga2F12 crystal, with properties calculated at the PBE level.

Unit cell a=6.176 b=8.123 c=9.048 alpha=105.17 beta=90.00 gamma=112.34
Site moments in Bohr magnetons follow the coordinates.
Sites, in units of the cell vectors:
F  0.380  0.256  0.064  0.00
F  0.503  0.005  0.859  0.00
F  0.875  0.256  0.064  0.00
F  0.125  0.744  0.936  0.00
F  0.620  0.744  0.936  0.00
F  0.999  0.997  0.142  0.00
F  0.094  0.687  0.406  0.23
F  0.497  0.995  0.141  0.00
F  0.906  0.313  0.594  0.23
F  0.001  0.003  0.858  0.00
F  0.408  0.313  0.594  0.23
F  0.592  0.687  0.406  0.23
Rb  0.297  0.594  0.149  0.00
Rb  0.685  0.369  0.358  0.00
Rb  0.315  0.631  0.642  0.00
Rb  0.703  0.406  0.851  0.00
Rb  0.000  0.000  0.500  0.00
Ga  0.247  0.000  0.000  0.00
Ga  0.753  0.000  0.000  0.00

Summary:
Raw formation energy ... -2572 meV/atom
Fermi-level density of states ... 4.365 states/eV/cell
SG ... C2/m, No. 12
Crystal system ... monoclinic

***

Below is a relaxed LiH5Pd2 crystal, with properties calculated at the PBE level.

Unit cell a=3.098 b=5.333 c=5.333 alpha=50.67 beta=73.11 gamma=73.11
Sites, in units of the cell vectors:
Li  0.000  0.000  0.000
H  0.000  0.500  0.500
H  0.658  0.112  0.572
H  0.658  0.572  0.112
H  0.342  0.428  0.888
H  0.342  0.888  0.428
Pd  0.806  0.694  0.694
Pd  0.194  0.306  0.306

Summary:
Fermi-level density of states ... 0.620 states/eV/cell
SG ... Immm, No. 71
Crystal system ... orthorhombic
Total energy ... -3.76 eV/atom

***

Below is a relaxed Cu2MoSe crystal, with properties calculated at the PBE level.

Unit cell a=7.077 b=7.077 c=5.575 alpha=50.60 beta=50.60 gamma=90.00
Sites, in units of the cell vectors:
Se  0.500  0.500  0.000
Se  0.250  0.750  0.500
Cu  0.875  0.855  0.750
Cu  0.375  0.395  0.750
Cu  0.145  0.625  0.250
Cu  0.605  0.125  0.250
Mo  0.000  0.000  0.000
Mo  0.750  0.250  0.500

Summary:
Raw formation energy ... 432 meV/atom
Fermi-level density of states ... 5.753 states/eV/cell
SG ... I-42d, No. 122
Crystal system ... tetragonal